No. 1
9
Lattice="-0.588 3.096 -2.394 -1.005 -5.292 -3.325 -6.617 0.710 2.543" Properties=species:S:1:pos:R:3 comment="K2Sn2O5 (GGA-PBE, optimized geometry)" density_g_cm3=3.9 e_form_raw_ev_per_fu=-13.73 total_energy_ev_per_cell=-48.724 pbc="T T T"
K -3.109 0.941 -1.291
K -5.101 -2.426 -1.885
Sn -6.310 -0.456 0.960
Sn -1.900 -1.030 -4.137
O -0.844 -2.394 -2.888
O -3.719 -0.905 -3.528
O 0.000 0.000 0.000
O -4.491 -0.581 0.351
O -7.366 0.908 -0.288

=====

No. 2
10
Lattice="3.999 0.000 1.561 0.942 5.964 3.488 -1.974 0.196 10.961" Properties=species:S:1:pos:R:3 comment="K2SnO2 (GGA-PBE, optimized geometry)" relative_energy_ev_per_fu=0.52 density_g_cm3=2.7 e_form_raw_ev_per_fu=-6.58 total_energy_ev_per_cell=-45.385 pbc="T T T"
O 0.898 1.618 9.505
O 0.493 1.193 4.641
O 2.069 4.541 6.504
O 2.474 4.967 11.368
K 1.909 1.608 6.914
K 2.363 2.321 11.653
K 0.604 3.839 4.356
K 1.058 4.552 9.095
Sn 1.174 0.561 2.895
Sn 1.793 5.599 13.114

=====

No. 3
8
Lattice="10.771 0.000 0.000 0.000 10.771 0.000 5.385 5.385 2.323" Properties=species:S:1:pos:R:3 comment="K2SnO (GGA-PBE, optimized geometry)" relative_energy_ev_per_fu=0.00 density_g_cm3=2.6 e_form_raw_ev_per_fu=-2.09 total_energy_ev_per_cell=-26.488 pbc="T T T"
K 13.463 11.625 1.742
K 8.078 9.916 1.742
K 6.240 2.693 0.581
K 4.531 8.078 0.581
Sn 0.000 0.000 0.000
Sn 10.771 5.385 1.162
O 5.385 10.771 1.162
O 5.385 5.385 0.000

=====

No. 4
10
Lattice="5.811 0.000 0.000 2.905 5.032 0.000 2.905 1.677 5.905" Properties=species:S:1:pos:R:3 comment="KSnO3 (GGA-PBE, optimized geometry)" density_g_cm3=4.0 e_form_raw_ev_per_fu=-6.35 total_energy_ev_per_cell=-52.649 pbc="T T T"
O 4.465 2.272 1.229
O 4.465 4.437 4.676
O 5.546 5.062 1.229
O 7.421 3.979 4.676
O 5.546 1.648 4.676
O 7.421 2.731 1.229
Sn 5.811 3.355 5.840
Sn 5.811 3.355 0.064
K 2.905 1.677 3.620
K 8.716 5.032 2.284

=====

No. 5
64
Lattice="-5.546 3.535 -0.298 -2.450 -2.928 10.863 9.460 15.369 6.276" Properties=species:S:1:pos:R:3 comment="K4SnO3 (GGA-PBE, optimized geometry)" density_g_cm3=3.0 e_form_raw_ev_per_fu=-10.70 total_energy_ev_per_cell=-271.726 pbc="T T T"
O 3.759 7.567 13.939
O -0.480 0.139 4.236
O -2.295 8.410 2.902
O -3.994 0.134 9.544
O -1.309 3.739 1.866
O 1.945 15.838 12.605
O 7.788 14.228 5.815
O 2.773 12.238 14.975
O 4.754 8.426 5.139
O 2.164 11.363 3.774
O -6.324 1.749 11.026
O -3.290 7.551 11.702
O -0.458 10.790 9.130
O -1.195 5.464 8.458
O 0.224 7.556 6.394
O -0.700 4.613 13.067
O -0.209 0.793 7.422
O 1.922 5.187 7.710
O 1.240 8.421 10.447
O 1.673 15.183 9.419
O -3.702 2.322 5.670
O 2.659 10.513 8.383
O 5.459 15.843 7.297
O 5.166 13.654 11.171
K -2.437 -0.172 6.175
K -1.241 0.402 9.884
K -2.210 5.100 10.931
K -2.086 2.957 7.777
K -3.990 6.135 8.204
K -0.987 8.895 12.084
K -5.414 1.573 7.600
K 2.451 7.082 4.757
K 1.408 2.974 2.467
K 2.882 13.217 12.464
K 2.705 15.575 6.957
K 5.445 13.072 14.661
K -2.387 7.457 5.424
K 2.621 7.796 8.126
K 0.056 13.003 14.373
K -1.156 8.181 8.715
K -1.418 2.760 4.377
K 0.127 9.607 3.286
K -1.153 1.255 0.746
K -0.496 6.153 2.895
K 6.878 14.404 9.240
K 2.617 14.722 16.094
K 3.550 13.020 9.064
K 5.455 9.841 8.637
K -3.981 2.905 2.180
K 3.851 8.519 11.416
K 3.901 16.148 10.666
K 1.019 5.750 10.177
K 0.446 10.226 6.664
K 3.675 10.877 5.910
K 1.337 6.370 13.554
K 1.960 9.824 13.946
Sn 6.068 11.803 11.462
Sn 1.026 12.934 4.527
Sn 0.438 3.043 12.314
Sn -4.604 4.174 5.379
Sn 1.382 10.462 10.043
Sn 5.713 14.275 5.945
Sn 0.082 5.515 6.798
Sn -4.248 1.702 10.896

=====

No. 6
7
Lattice="5.979 0.000 0.000 2.825 5.269 0.000 2.825 1.691 4.990" Properties=species:S:1:pos:R:3 comment="K2Sn2O3 (GGA-PBE, optimized geometry)" relative_energy_ev_per_fu=0.06 density_g_cm3=3.8 e_form_raw_ev_per_fu=-10.12 total_energy_ev_per_cell=-35.198 pbc="T T T"
Sn 2.802 1.677 1.202
Sn 8.828 5.283 3.788
K 0.000 0.000 0.000
K 5.815 3.480 2.495
O 2.989 0.000 0.000
O 1.413 2.634 0.000
O 1.413 0.845 2.495

=====

No. 7
14
Lattice="7.371 0.000 0.000 -2.457 6.950 0.000 -2.457 -3.475 6.019" Properties=species:S:1:pos:R:3 comment="K2Sn2O3 (GGA-PBE, optimized geometry)" relative_energy_ev_per_fu=0.00 density_g_cm3=3.9 e_form_raw_ev_per_fu=-10.18 total_energy_ev_per_cell=-70.509 pbc="T T T"
O -2.559 1.810 5.894
O -0.102 2.678 1.630
O 0.102 -0.072 3.134
O 4.812 -1.013 4.514
O 2.559 1.013 1.505
O 2.559 6.009 1.380
Sn 1.200 1.697 2.939
Sn -1.257 -1.656 3.009
Sn 3.657 -0.041 0.070
Sn -1.142 3.475 0.000
K -2.415 1.619 3.009
K 0.042 0.059 0.103
K 2.499 -1.678 2.906
K 2.331 3.475 0.000

=====

No. 8
8
Lattice="5.865 0.000 0.000 0.000 5.865 0.000 2.932 2.932 7.430" Properties=species:S:1:pos:R:3 comment="KSn2O (GGA-PBE, optimized geometry)" density_g_cm3=3.8 e_form_raw_ev_per_fu=-1.28 total_energy_ev_per_cell=-30.677 pbc="T T T"
K 5.865 2.932 3.715
K 0.000 0.000 0.000
O 2.932 2.932 0.000
O 2.932 5.865 3.715
Sn 4.398 5.616 5.573
Sn 7.331 6.114 5.573
Sn 2.683 4.398 1.858
Sn 3.181 1.466 1.858

=====

No. 9
26
Lattice="-4.234 2.871 -4.536 -0.963 -3.814 -5.592 -12.221 -6.498 3.282" Properties=species:S:1:pos:R:3 comment="K5Sn2O6 (GGA-PBE, optimized geometry)" density_g_cm3=3.0 e_form_raw_ev_per_fu=-18.76 total_energy_ev_per_cell=-124.008 pbc="T T T"
O -7.113 -2.113 -1.466
O -9.570 -3.337 -8.233
O -9.731 -4.306 -1.456
O -7.848 -4.104 1.386
O -15.646 -6.658 -6.603
O -1.773 -0.784 -0.243
O -5.075 -0.283 -6.738
O -3.446 -1.414 -3.154
O -12.344 -7.159 -0.109
O -7.688 -3.136 -5.391
O -13.973 -6.028 -3.693
O -10.306 -5.329 -5.381
K -12.786 -6.252 -6.395
K -9.965 -6.030 0.938
K -3.314 1.094 -4.438
K -5.999 -1.392 -4.133
K -7.865 -5.342 -3.301
K -4.633 -1.189 -0.452
K -14.105 -8.536 -2.409
K -11.420 -6.049 -2.714
K -9.554 -2.100 -3.546
K -7.454 -1.411 -7.785
Sn -9.014 -4.120 -6.503
Sn -15.695 -6.204 -4.677
Sn -1.724 -1.238 -2.169
Sn -8.405 -3.321 -0.344

=====

No. 10
8
Lattice="3.475 0.000 0.000 0.000 6.161 0.043 0.000 -2.209 6.207" Properties=species:S:1:pos:R:3 comment="K2SrSnO4 (GGA-PBE, optimized geometry)" density_g_cm3=4.3 e_form_raw_ev_per_fu=-14.76 total_energy_ev_per_cell=-42.472 pbc="T T T"
O 1.738 0.841 1.199
O 0.000 4.421 1.175
O 0.000 -0.469 5.075
O 1.738 3.112 5.051
Sr 1.738 3.081 0.021
K 0.000 1.976 3.125
K 1.738 -1.104 3.104
Sn 0.000 0.000 0.000

=====

No. 11
5
Lattice="5.150 0.000 0.000 0.000 5.150 0.000 0.000 0.000 5.405" Properties=species:S:1:pos:R:3 comment="KSr2SnO (GGA-PBE, optimized geometry)" density_g_cm3=4.0 e_form_raw_ev_per_fu=-5.99 total_energy_ev_per_cell=-19.412 pbc="T T T"
K 0.000 0.000 2.702
Sr 2.575 0.000 0.000
Sr 0.000 2.575 0.000
O 0.000 0.000 0.000
Sn 2.575 2.575 2.702

=====

No. 12
14
Lattice="-4.552 2.724 2.513 -2.798 0.157 -5.239 -0.444 -7.091 0.024" Properties=species:S:1:pos:R:3 comment="KSrSnO4 (GGA-PBE, optimized geometry)" density_g_cm3=4.6 e_form_raw_ev_per_fu=-12.39 total_energy_ev_per_cell=-78.001 pbc="T T T"
K -4.906 0.362 -2.422
K -2.889 -4.571 -0.279
Sr -1.289 -1.202 -1.032
Sr -6.506 -3.007 -1.669
O -5.246 -3.380 1.016
O -1.621 -3.467 -2.607
O -2.549 -0.829 -3.717
O -3.897 -2.105 -1.350
O -2.498 -2.183 1.269
O -3.530 0.234 0.208
O -4.265 -4.443 -2.909
O -0.222 -3.545 0.012
Sn -4.390 -1.576 0.613
Sn -3.405 -2.633 -3.314

=====

No. 13
14
Lattice="-0.398 5.934 -2.781 -0.945 0.534 -6.475 -6.612 2.164 -2.185" Properties=species:S:1:pos:R:3 comment="K2SrSn3O8 (GGA-PBE, optimized geometry)" density_g_cm3=4.6 e_form_raw_ev_per_fu=-24.97 total_energy_ev_per_cell=-80.523 pbc="T T T"
Sn -0.675 3.226 -4.616
Sn -0.206 2.961 -1.402
Sn -0.477 0.281 -3.236
O -6.318 6.475 -8.529
O -1.773 5.033 -4.508
O -5.853 3.350 -4.030
O -2.015 2.640 -6.145
O -6.278 3.590 -6.941
O -2.192 5.269 -7.377
O -1.642 2.158 -2.911
O -6.032 6.018 -5.280
K -4.041 4.317 -5.711
K -4.266 2.161 -2.528
Sr -3.469 6.471 -8.945

=====

No. 14
20
Lattice="7.031 0.000 0.000 -2.344 6.629 0.000 -2.344 -3.314 5.741" Properties=species:S:1:pos:R:3 comment="K4Ta3SnO12 (GGA-PBE, optimized geometry)" density_g_cm3=6.3 e_form_raw_ev_per_fu=-46.87 total_energy_ev_per_cell=-150.316 pbc="T T T"
O 1.206 -0.853 1.477
O -1.172 0.829 4.305
O 3.515 2.486 1.435
O 3.481 4.923 0.000
O -1.206 0.853 1.477
O 1.172 4.143 1.435
O 3.515 0.000 2.870
O -1.172 3.314 2.870
O 3.481 -2.462 4.264
O 1.206 1.706 0.000
O -3.481 2.462 4.264
O 1.172 -0.829 4.305
Ta 2.344 3.314 0.000
Ta -2.344 1.657 2.870
Ta 2.344 -1.657 2.870
K 1.172 1.657 2.870
K 3.515 0.000 0.000
K -1.172 -1.657 2.870
K -1.172 3.314 0.000
Sn 0.000 0.000 0.000

=====

No. 15
10
Lattice="-3.492 4.029 2.239 -3.741 -4.118 1.578 -1.711 -0.395 5.509" Properties=species:S:1:pos:R:3 comment="K2TaSnO6 (GGA-PBE, optimized geometry)" density_g_cm3=5.8 e_form_raw_ev_per_fu=-20.10 total_energy_ev_per_cell=-67.898 pbc="T T T"
O -2.643 -0.223 3.748
O -6.300 -0.260 5.577
O -3.552 2.037 2.077
O -5.391 -2.520 7.248
O -3.480 -0.416 6.442
O -5.464 -0.067 2.883
Sn -3.616 -0.044 1.908
K -4.409 1.795 4.827
K -4.534 -2.278 4.498
Ta 0.000 0.000 0.000

=====

No. 16
12
Lattice="-4.577 -1.262 0.798 1.248 -4.494 1.190 1.193 1.935 7.622" Properties=species:S:1:pos:R:3 comment="KTaSn2O8 (GGA-PBE, optimized geometry)" density_g_cm3=5.3 e_form_raw_ev_per_fu=-20.36 total_energy_ev_per_cell=-80.983 pbc="T T T"
O -2.383 -0.383 7.039
O -0.980 -1.694 0.585
O 1.134 -2.307 7.351
O 0.247 -3.437 2.570
O -1.634 -1.733 4.370
O -3.270 -1.513 2.259
O -0.502 -2.087 5.240
O -1.155 -2.127 9.024
K 0.596 0.968 3.811
Sn -0.635 -1.350 7.158
Sn -1.501 -2.470 2.452
Ta 0.000 0.000 0.000

=====

No. 17
12
Lattice="-1.202 -3.248 -0.060 7.291 -2.582 -6.278 4.127 -1.630 5.601" Properties=species:S:1:pos:R:3 comment="KTbSnO3 (GGA-PBE, optimized geometry)" density_g_cm3=4.9 e_form_raw_ev_per_fu=-13.52 total_energy_ev_per_cell=-76.260 pbc="T T T"
O 6.953 -3.442 -2.955
O 5.413 -2.998 3.923
O 3.263 -4.019 2.218
O 6.916 -3.507 1.355
O 3.300 -3.953 -2.092
O 4.804 -4.462 -4.660
K 7.068 -5.371 -0.811
K 3.148 -2.090 0.074
Sn 6.708 -5.173 -4.330
Sn 3.508 -2.288 3.593
Tb 5.494 -4.850 2.539
Tb 4.722 -2.610 -3.277

=====

No. 18
12
Lattice="6.058 -0.001 0.002 -3.028 5.247 0.002 -1.009 -1.747 6.273" Properties=species:S:1:pos:R:3 comment="K3Tb2SnO6 (GGA-PBE, optimized geometry)" density_g_cm3=5.4 e_form_raw_ev_per_fu=-27.05 total_energy_ev_per_cell=-73.358 pbc="T T T"
K -2.051 3.518 3.138
K 1.011 1.750 3.138
K 4.072 -0.018 3.138
Tb -0.001 3.499 0.002
Tb 3.031 1.747 0.002
O 0.007 0.012 5.094
O -0.009 3.500 5.092
O -1.015 1.759 1.185
O 2.031 -0.001 1.185
O 3.037 1.741 5.092
O 2.015 3.488 1.183
Sn 0.000 0.000 0.000